! ScMn2As | Alexandria via LeMat-Bulk | GGA-PBE | relaxed; values from VASP
! spin magnetization = 5.4 μB/f.u.
! volume = 15.4 A^3/atom
! raw total energy = -7.512 eV/atom
! formation energy = -182 meV/atom
&SYSTEM
  ibrav = 0, nat = 4, ntyp = 3
/
ATOMIC_SPECIES
Sc 44.96 Sc.upf
Mn 54.94 Mn.upf
As 74.92 As.upf
CELL_PARAMETERS angstrom
-1.929 1.936 4.114
1.929 -1.936 4.114
1.929 1.936 -4.114
ATOMIC_POSITIONS angstrom
Sc 0.000 0.000 0.000
Mn 1.929 0.000 2.061
Mn 0.000 0.000 4.122
As 0.000 1.936 2.055



! Sc3MnAs | Alexandria via LeMat-Bulk | GGA-PBE | relaxed; values from VASP
! spin magnetization = 0.0 μB/f.u.
! volume = 21.2 A^3/atom
! raw total energy = -6.531 eV/atom
! formation energy = 32 meV/atom
! offset from the most stable computed form = 0.0 meV per atom
&SYSTEM
  ibrav = 0, nat = 5, ntyp = 3
/
ATOMIC_SPECIES
Sc 44.96 Sc.upf
Mn 54.94 Mn.upf
As 74.92 As.upf
CELL_PARAMETERS angstrom
4.736 0.000 0.000
0.000 4.736 0.000
0.000 0.000 4.736
ATOMIC_POSITIONS angstrom
Sc 0.000 0.000 2.368
Sc 0.000 2.368 0.000
Sc 2.368 0.000 0.000
Mn 0.000 0.000 0.000
As 2.368 2.368 2.368



! ScMn2As | Alexandria via LeMat-Bulk | GGA-PBE | relaxed; values from VASP
! spin magnetization = 5.1 μB/f.u.
! volume = 15.7 A^3/atom
! raw total energy = -7.473 eV/atom
! formation energy = -143 meV/atom
&SYSTEM
  ibrav = 0, nat = 4, ntyp = 3
/
ATOMIC_SPECIES
Sc 44.96 Sc.upf
Mn 54.94 Mn.upf
As 74.92 As.upf
CELL_PARAMETERS angstrom
3.275 0.000 0.000
0.000 3.275 0.000
0.000 0.000 5.867
ATOMIC_POSITIONS angstrom
Sc 0.000 0.000 0.000
Mn 0.000 0.000 2.916
Mn 1.638 1.638 4.280
As 1.638 1.638 1.771



! ScMnAs2 | Alexandria via LeMat-Bulk | GGA-PBE | relaxed; values from VASP
! spin magnetization = 3.7 μB/f.u.
! volume = 17.8 A^3/atom
! raw total energy = -6.654 eV/atom
! formation energy = -454 meV/atom
! offset from the most stable computed form = 214.0 meV per atom
&SYSTEM
  ibrav = 0, nat = 4, ntyp = 3
/
ATOMIC_SPECIES
Sc 44.96 Sc.upf
Mn 54.94 Mn.upf
As 74.92 As.upf
CELL_PARAMETERS angstrom
3.015 -3.412 0.000
3.015 3.412 0.000
-0.570 0.000 3.459
ATOMIC_POSITIONS angstrom
Sc 0.000 0.000 0.000
Mn 3.015 0.000 0.000
As 1.223 1.706 1.730
As 1.223 -1.706 1.730



! ScMnAs3 | Alexandria via LeMat-Bulk | GGA-PBE | relaxed; values from VASP
! spin magnetization = 0.5 μB/f.u.
! volume = 25.3 A^3/atom
! raw total energy = -4.889 eV/atom
! formation energy = 1001 meV/atom
! offset from the most stable computed form = 976.0 meV per atom
&SYSTEM
  ibrav = 0, nat = 5, ntyp = 3
/
ATOMIC_SPECIES
Sc 44.96 Sc.upf
Mn 54.94 Mn.upf
As 74.92 As.upf
CELL_PARAMETERS angstrom
5.017 0.000 0.000
0.000 5.017 0.000
0.000 0.000 5.017
ATOMIC_POSITIONS angstrom
Sc 0.000 0.000 0.000
Mn 2.509 2.509 2.509
As 0.000 0.000 2.509
As 0.000 2.509 0.000
As 2.509 0.000 0.000



! ScMnAsSe2 | Alexandria via LeMat-Bulk | GGA-PBE | relaxed; values from VASP
! spin magnetization = 3.4 μB/f.u.
! volume = 21.9 A^3/atom
! raw total energy = -5.632 eV/atom
! offset from the most stable computed form = 0.0 meV per atom
&SYSTEM
  ibrav = 0, nat = 5, ntyp = 4
/
ATOMIC_SPECIES
Sc 44.96 Sc.upf
Mn 54.94 Mn.upf
As 74.92 As.upf
Se 78.96 Se.upf
CELL_PARAMETERS angstrom
4.833 0.000 0.000
0.000 4.833 0.000
0.000 0.000 4.687
ATOMIC_POSITIONS angstrom
Sc 0.000 0.000 0.000
Mn 2.417 2.417 2.343
As 2.417 2.417 0.000
Se 0.000 2.417 2.343
Se 2.417 0.000 2.343



! ScMnAs2Se | Alexandria via LeMat-Bulk | GGA-PBE | relaxed; values from VASP
! spin magnetization = 4.4 μB/f.u.
! volume = 26.3 A^3/atom
! raw total energy = -5.379 eV/atom
! offset from the most stable computed form = 319.7 meV per atom
&SYSTEM
  ibrav = 0, nat = 5, ntyp = 4
/
ATOMIC_SPECIES
Sc 44.96 Sc.upf
Mn 54.94 Mn.upf
As 74.92 As.upf
Se 78.96 Se.upf
CELL_PARAMETERS angstrom
5.089 0.000 0.000
0.000 5.089 0.000
0.000 0.000 5.083
ATOMIC_POSITIONS angstrom
Sc 0.000 0.000 0.000
Mn 2.544 2.544 2.542
As 0.000 2.544 0.000
As 2.544 0.000 0.000
Se 0.000 0.000 2.542



! ScMnAs2Se | Alexandria via LeMat-Bulk | GGA-PBE | relaxed; values from VASP
! spin magnetization = 0.1 μB/f.u.
! volume = 20.9 A^3/atom
! raw total energy = -5.698 eV/atom
! offset from the most stable computed form = 0.0 meV per atom
&SYSTEM
  ibrav = 0, nat = 5, ntyp = 4
/
ATOMIC_SPECIES
Sc 44.96 Sc.upf
Mn 54.94 Mn.upf
As 74.92 As.upf
Se 78.96 Se.upf
CELL_PARAMETERS angstrom
4.419 0.000 0.000
0.000 4.419 0.000
0.000 0.000 5.340
ATOMIC_POSITIONS angstrom
Sc 0.000 0.000 0.000
Mn 2.210 2.210 2.670
As 0.000 2.210 2.670
As 2.210 0.000 2.670
Se 2.210 2.210 0.000



Q: The lowest spin magnetization belongs to which entry?
A: Sc3MnAs